Compound: RbNdBi2
Source: Alexandria
Functional: PBE
Structure: optimized geometry Values from VASP.

Results
total magnetic moment = 0.0000 μB/atom
V = 169 Å³/f.u.
energy of formation = -0.39 eV/atom
distance to the lowest polymorph of the same formula = 161 meV/atom

```
&SYSTEM
  ibrav = 0, nat = 4, ntyp = 3
/
ATOMIC_SPECIES
Rb 85.47 Rb.upf
Nd 144.24 Nd.upf
Bi 208.98 Bi.upf
CELL_PARAMETERS angstrom
2.322 1.340 9.059
-2.322 1.340 9.059
0.000 -2.681 9.059
ATOMIC_POSITIONS angstrom
Rb 0.000 0.000 0.000
Nd 0.000 0.000 13.588
Bi 0.000 0.000 6.348
Bi 0.000 0.000 20.828
```


Compound: Rb2Nd2BiS6
Source: Alexandria
Functional: PBE
Structure: optimized geometry Values from VASP.

Results
total magnetic moment = 0.0000 μB/atom
V = 353 Å³/f.u.
energy relative to the elements, uncorrected = -1332 meV per atom

```
&SYSTEM
  ibrav = 0, nat = 11, ntyp = 4
/
ATOMIC_SPECIES
Rb 85.47 Rb.upf
Nd 144.24 Nd.upf
Bi 208.98 Bi.upf
S 32.06 S.upf
CELL_PARAMETERS angstrom
3.589 -6.194 0.000
3.589 6.194 0.000
-2.370 0.000 7.940
ATOMIC_POSITIONS angstrom
Rb 3.589 4.119 0.000
Rb 3.589 -4.119 0.000
Nd 2.404 2.066 3.970
Nd 2.404 -2.066 3.970
Bi -1.185 0.000 3.970
S -0.017 2.029 5.495
S 1.122 0.000 2.448
S -0.017 -2.029 5.495
S 4.826 2.029 2.445
S 3.687 0.000 5.493
S 4.826 -2.029 2.445
```


Compound: Rb2NdBiS4
Source: Alexandria
Functional: PBE
Structure: optimized geometry Values from VASP.

Results
total magnetic moment = 0.0000 μB/atom
V = 237 Å³/f.u.
energy relative to the elements, uncorrected = -1302 meV per atom

```
&SYSTEM
  ibrav = 0, nat = 8, ntyp = 4
/
ATOMIC_SPECIES
Rb 85.47 Rb.upf
Nd 144.24 Nd.upf
Bi 208.98 Bi.upf
S 32.06 S.upf
CELL_PARAMETERS angstrom
7.300 0.000 0.000
0.000 4.214 0.000
-2.426 0.000 7.710
ATOMIC_POSITIONS angstrom
Rb 0.000 0.000 0.000
Rb 3.650 2.107 0.000
Nd -1.213 2.107 3.855
Bi 2.437 0.000 3.855
S 0.002 0.000 5.382
S 1.215 2.107 2.317
S 3.658 2.107 5.392
S 4.871 0.000 2.327
```


Compound: Rb3NdBi2S6
Source: Alexandria
Functional: PBE
Structure: optimized geometry Values from VASP.

Results
total magnetic moment = 0.0000 μB/atom
V = 355 Å³/f.u.
energy relative to the elements, uncorrected = -1128 meV per atom

```
&SYSTEM
  ibrav = 0, nat = 12, ntyp = 4
/
ATOMIC_SPECIES
Rb 85.47 Rb.upf
Nd 144.24 Nd.upf
Bi 208.98 Bi.upf
S 32.06 S.upf
CELL_PARAMETERS angstrom
3.645 -6.312 0.000
3.645 6.312 0.000
-2.428 0.000 7.713
ATOMIC_POSITIONS angstrom
Rb 0.000 0.000 0.000
Rb 3.645 2.121 0.000
Rb 3.645 -2.121 0.000
Nd 2.431 0.000 3.857
Bi 2.431 4.210 3.857
Bi 2.431 -4.210 3.857
S 1.215 2.105 2.321
S 0.000 0.000 5.395
S 1.215 -2.105 2.321
S 3.647 2.105 5.392
S 4.862 0.000 2.318
S 3.647 -2.105 5.392
```


Compound: Rb3Nd3BiSe8
Source: Alexandria
Functional: PBE
Structure: optimized geometry Values from VASP.

Results
total magnetic moment = 0.0000 μB/atom
V = 528 Å³/f.u.
energy relative to the elements, uncorrected = -1409 meV per atom

```
&SYSTEM
  ibrav = 0, nat = 15, ntyp = 4
/
ATOMIC_SPECIES
Rb 85.47 Rb.upf
Nd 144.24 Nd.upf
Bi 208.98 Bi.upf
Se 78.96 Se.upf
CELL_PARAMETERS angstrom
7.471 -4.312 0.000
7.471 4.312 0.000
-4.981 0.000 8.203
ATOMIC_POSITIONS angstrom
Rb 0.000 0.000 0.000
Rb 3.735 2.156 0.000
Rb 3.735 -2.156 0.000
Nd 1.245 2.156 4.102
Nd 1.245 -2.156 4.102
Nd 4.980 0.000 4.102
Bi -2.491 0.000 4.102
Se -0.036 0.000 5.720
Se 3.757 2.189 5.721
Se 6.203 2.189 2.482
Se 2.483 0.000 2.458
Se 7.477 0.000 5.745
Se 3.757 -2.189 5.721
Se 6.203 -2.189 2.482
Se 9.996 0.000 2.483
```


Compound: Rb3Nd2BiTe6
Source: Alexandria
Functional: PBE
Structure: optimized geometry Values from VASP.

Results
total magnetic moment = 0.0000 μB/atom
V = 482 Å³/f.u.
energy relative to the elements, uncorrected = -1139 meV per atom

```
&SYSTEM
  ibrav = 0, nat = 12, ntyp = 4
/
ATOMIC_SPECIES
Rb 85.47 Rb.upf
Nd 144.24 Nd.upf
Bi 208.98 Bi.upf
Te 127.60 Te.upf
CELL_PARAMETERS angstrom
4.028 -6.977 0.000
4.028 6.977 0.000
-2.687 0.000 8.571
ATOMIC_POSITIONS angstrom
Rb 0.000 0.000 0.000
Rb 4.028 2.327 0.000
Rb 4.028 -2.327 0.000
Nd 2.684 4.652 4.286
Nd 2.684 -4.652 4.286
Bi 2.684 0.000 4.286
Te 1.350 2.312 2.538
Te 0.015 0.000 6.034
Te 1.350 -2.312 2.538
Te 4.019 2.312 6.033
Te 5.353 0.000 2.537
Te 4.019 -2.312 6.033
```


Compound: Rb3NdBi2Te6
Source: Alexandria
Functional: PBE
Structure: optimized geometry Values from VASP.

Results
total magnetic moment = 0.0000 μB/atom
V = 481 Å³/f.u.
energy relative to the elements, uncorrected = -875 meV per atom

```
&SYSTEM
  ibrav = 0, nat = 12, ntyp = 4
/
ATOMIC_SPECIES
Rb 85.47 Rb.upf
Nd 144.24 Nd.upf
Bi 208.98 Bi.upf
Te 127.60 Te.upf
CELL_PARAMETERS angstrom
4.021 -6.964 0.000
4.021 6.964 0.000
-2.681 0.000 8.583
ATOMIC_POSITIONS angstrom
Rb 0.000 0.000 0.000
Rb 4.021 2.326 0.000
Rb 4.021 -2.326 0.000
Nd 2.680 0.000 4.292
Bi 2.680 4.643 4.292
Bi 2.680 -4.643 4.292
Te 1.328 2.342 2.552
Te -0.024 0.000 6.034
Te 1.328 -2.342 2.552
Te 4.032 2.342 6.032
Te 5.384 0.000 2.550
Te 4.032 -2.342 6.032
```


Compound: Rb3Nd3BiTe8
Source: Alexandria
Functional: PBE
Structure: optimized geometry Values from VASP.

Results
total magnetic moment = 0.0000 μB/atom
V = 635 Å³/f.u.
energy relative to the elements, uncorrected = -1114 meV per atom

```
&SYSTEM
  ibrav = 0, nat = 15, ntyp = 4
/
ATOMIC_SPECIES
Rb 85.47 Rb.upf
Nd 144.24 Nd.upf
Bi 208.98 Bi.upf
Te 127.60 Te.upf
CELL_PARAMETERS angstrom
7.909 -4.553 0.000
7.909 4.553 0.000
-5.288 0.000 8.821
ATOMIC_POSITIONS angstrom
Rb 0.000 0.000 0.000
Rb 3.955 2.277 0.000
Rb 3.955 -2.277 0.000
Nd 1.311 2.277 4.410
Nd 1.311 -2.277 4.410
Nd 5.265 0.000 4.410
Bi -2.644 0.000 4.410
Te 3.944 2.275 6.198
Te -0.006 0.000 6.199
Te 2.631 0.000 2.590
Te 6.586 2.275 2.623
Te 3.944 -2.275 6.198
Te 7.900 0.000 6.230
Te 10.537 0.000 2.621
Te 6.586 -2.275 2.623
```


Compound: Rb2NdBiTe4
Source: Alexandria
Functional: PBE
Structure: optimized geometry Values from VASP.

Results
total magnetic moment = 0.0000 μB/atom
V = 321 Å³/f.u.
energy relative to the elements, uncorrected = -1006 meV per atom

```
&SYSTEM
  ibrav = 0, nat = 8, ntyp = 4
/
ATOMIC_SPECIES
Rb 85.47 Rb.upf
Nd 144.24 Nd.upf
Bi 208.98 Bi.upf
Te 127.60 Te.upf
CELL_PARAMETERS angstrom
8.091 0.000 0.000
0.000 4.624 0.000
-2.645 0.000 8.577
ATOMIC_POSITIONS angstrom
Rb 0.000 0.000 0.000
Rb 4.046 2.312 0.000
Nd -1.323 2.312 4.288
Bi 2.723 0.000 4.288
Te 0.049 0.000 6.039
Te 1.376 2.312 2.547
Te 4.070 2.312 6.030
Te 5.397 0.000 2.538
```


Compound: Nd8Bi2Rh3
Source: Alexandria
Functional: PBE
Structure: optimized geometry Values from VASP.

Results
total magnetic moment = 0.0000 μB/atom
V = 457 Å³/f.u.
energy of formation = -0.53 eV/atom

```
&SYSTEM
  ibrav = 0, nat = 13, ntyp = 3
/
ATOMIC_SPECIES
Nd 144.24 Nd.upf
Bi 208.98 Bi.upf
Rh 102.91 Rh.upf
CELL_PARAMETERS angstrom
8.272 -4.076 0.000
8.272 4.076 0.000
-1.870 0.000 6.781
ATOMIC_POSITIONS angstrom
Nd 0.796 0.000 2.593
Nd 6.366 1.980 0.703
Nd 8.308 1.980 6.078
Nd 5.488 0.000 4.064
Nd 9.185 0.000 2.717
Nd 6.366 -1.980 0.703
Nd 8.308 -1.980 6.078
Nd 13.878 0.000 4.187
Bi 3.730 0.000 1.143
Bi 10.944 0.000 5.638
Rh 7.337 2.040 3.390
Rh 8.272 0.000 0.000
Rh 7.337 -2.040 3.390
```


Compound: Nd8Bi2Rh
Source: Alexandria
Functional: PBE
Structure: optimized geometry Values from VASP.

Results
total magnetic moment = 0.0000 μB/atom
V = 355 Å³/f.u.
energy of formation = -0.43 eV/atom

```
&SYSTEM
  ibrav = 0, nat = 11, ntyp = 3
/
ATOMIC_SPECIES
Nd 144.24 Nd.upf
Bi 208.98 Bi.upf
Rh 102.91 Rh.upf
CELL_PARAMETERS angstrom
9.784 -2.411 0.000
9.784 2.411 0.000
-1.158 0.000 7.528
ATOMIC_POSITIONS angstrom
Nd -0.232 0.000 2.089
Nd 3.207 0.000 6.387
Nd 6.471 0.000 3.513
Nd 6.801 0.000 7.456
Nd 11.609 0.000 0.072
Nd 11.939 0.000 4.015
Nd 15.203 0.000 1.141
Nd 18.642 0.000 5.440
Bi 3.266 0.000 2.064
Bi 15.144 0.000 5.465
Rh 9.205 0.000 3.764
```


Compound: Nd2Bi3Rh4
Source: Alexandria
Functional: PBE
Structure: optimized geometry Values from VASP.

Results
total magnetic moment = 0.0000 μB/atom
V = 198 Å³/f.u.
energy of formation = -0.50 eV/atom

```
&SYSTEM
  ibrav = 0, nat = 18, ntyp = 3
/
ATOMIC_SPECIES
Nd 144.24 Nd.upf
Bi 208.98 Bi.upf
Rh 102.91 Rh.upf
CELL_PARAMETERS angstrom
3.151 -8.421 0.000
3.151 8.421 0.000
0.000 0.000 7.479
ATOMIC_POSITIONS angstrom
Nd 3.151 6.739 6.822
Nd 3.151 1.682 3.082
Nd 3.151 -1.682 4.396
Nd 3.151 -6.739 0.657
Bi 0.000 0.000 3.739
Bi 1.576 4.013 5.609
Bi 1.576 -4.013 1.870
Bi 3.151 0.000 0.000
Bi 4.727 4.013 5.609
Bi 4.727 -4.013 1.870
Rh 3.151 5.655 3.891
Rh 1.576 1.209 5.609
Rh 1.576 -1.209 1.870
Rh 3.151 2.767 0.151
Rh 3.151 -2.767 7.327
Rh 4.727 1.209 5.609
Rh 4.727 -1.209 1.870
Rh 3.151 -5.655 3.588
```


Compound: NdBiRh4
Source: Alexandria
Functional: PBE
Structure: optimized geometry Values from VASP.

Results
total magnetic moment = 0.0000 μB/atom
V = 111 Å³/f.u.
energy of formation = -0.35 eV/atom

```
&SYSTEM
  ibrav = 0, nat = 6, ntyp = 3
/
ATOMIC_SPECIES
Nd 144.24 Nd.upf
Bi 208.98 Bi.upf
Rh 102.91 Rh.upf
CELL_PARAMETERS angstrom
0.000 3.816 3.816
3.816 0.000 3.816
3.816 3.816 0.000
ATOMIC_POSITIONS angstrom
Nd 0.000 0.000 0.000
Bi 5.724 5.724 5.724
Rh 2.868 2.868 2.868
Rh 4.764 4.764 2.868
Rh 4.764 2.868 4.764
Rh 2.868 4.764 4.764
```


Compound: NdBi5Rh3
Source: Alexandria
Functional: PBE
Structure: optimized geometry Values from VASP.

Results
total magnetic moment = 0.0000 μB/atom
V = 253 Å³/f.u.
energy of formation = -0.18 eV/atom

```
&SYSTEM
  ibrav = 0, nat = 18, ntyp = 3
/
ATOMIC_SPECIES
Nd 144.24 Nd.upf
Bi 208.98 Bi.upf
Rh 102.91 Rh.upf
CELL_PARAMETERS angstrom
6.155 -4.442 0.000
6.155 4.442 0.000
-3.594 0.000 9.270
ATOMIC_POSITIONS angstrom
Nd 0.213 0.000 2.743
Nd 8.504 0.000 6.527
Bi 2.758 2.663 3.269
Bi 2.761 0.000 0.263
Bi 6.155 1.754 0.000
Bi 5.959 2.663 6.001
Bi 3.000 0.000 5.773
Bi 5.717 0.000 3.497
Bi 2.758 -2.663 3.269
Bi 6.155 -1.754 0.000
Bi 5.956 0.000 9.007
Bi 5.959 -2.663 6.001
Rh 0.000 0.000 0.000
Rh -1.797 0.000 4.635
Rh 1.126 0.000 7.711
Rh 2.990 0.000 2.963
Rh 5.727 0.000 6.307
Rh 7.591 0.000 1.559
```


Compound: Nd2BiRh2
Source: Alexandria
Functional: PBE
Structure: optimized geometry Values from VASP.

Results
total magnetic moment = 0.0000 μB/atom
V = 118 Å³/f.u.
energy of formation = -0.70 eV/atom

```
&SYSTEM
  ibrav = 0, nat = 10, ntyp = 3
/
ATOMIC_SPECIES
Nd 144.24 Nd.upf
Bi 208.98 Bi.upf
Rh 102.91 Rh.upf
CELL_PARAMETERS angstrom
5.222 -2.818 0.000
5.222 2.818 0.000
-2.292 0.000 8.043
ATOMIC_POSITIONS angstrom
Nd 1.717 1.903 6.827
Nd 5.289 1.903 5.237
Nd 2.863 -1.903 2.806
Nd 6.435 -1.903 1.216
Bi 4.649 0.992 2.011
Bi 3.503 -0.992 6.032
Rh 2.615 0.772 4.035
Rh 3.761 -0.772 0.013
Rh 4.391 0.772 8.029
Rh 5.537 -0.772 4.008
```


Compound: Nd3BiRh8
Source: Alexandria
Functional: PBE
Structure: optimized geometry Values from VASP.

Results
total magnetic moment = 0.0000 μB/atom
V = 224 Å³/f.u.
energy of formation = -0.51 eV/atom

```
&SYSTEM
  ibrav = 0, nat = 12, ntyp = 3
/
ATOMIC_SPECIES
Nd 144.24 Nd.upf
Bi 208.98 Bi.upf
Rh 102.91 Rh.upf
CELL_PARAMETERS angstrom
2.705 1.562 8.834
-2.705 1.562 8.834
0.000 -3.124 8.834
ATOMIC_POSITIONS angstrom
Nd 0.000 0.000 0.000
Nd 0.000 0.000 3.363
Nd 0.000 0.000 16.450
Bi 0.000 0.000 13.162
Rh 0.000 -1.567 6.055
Rh -1.357 0.784 6.055
Rh -1.351 -0.780 10.477
Rh 0.000 0.000 8.266
Rh 1.351 -0.780 10.477
Rh 0.000 1.560 10.477
Rh 1.357 0.784 6.055
Rh 0.000 0.000 21.524
```


Compound: Nd3BiRh3
Source: Alexandria
Functional: PBE
Structure: optimized geometry Values from VASP.

Results
total magnetic moment = 0.0000 μB/atom
V = 174 Å³/f.u.
energy of formation = -0.59 eV/atom

```
&SYSTEM
  ibrav = 0, nat = 14, ntyp = 3
/
ATOMIC_SPECIES
Nd 144.24 Nd.upf
Bi 208.98 Bi.upf
Rh 102.91 Rh.upf
CELL_PARAMETERS angstrom
9.317 0.000 0.000
-4.659 8.069 0.000
0.000 0.000 4.632
ATOMIC_POSITIONS angstrom
Nd -2.484 5.502 1.158
Nd 1.135 3.167 1.158
Nd 3.310 0.600 3.474
Nd 1.349 7.469 1.158
Nd 3.523 4.902 3.474
Nd 7.142 2.566 3.474
Bi 0.000 5.379 3.474
Bi 4.659 2.690 1.158
Rh -3.670 6.823 3.474
Rh 0.585 1.479 3.474
Rh 1.573 0.233 1.158
Rh 3.086 7.836 3.474
Rh 4.074 6.590 1.158
Rh 8.329 1.246 1.158
```


Compound: Nd2Bi2Rh3
Source: Alexandria
Functional: PBE
Structure: optimized geometry Values from VASP.

Results
total magnetic moment = 0.0000 μB/atom
V = 169 Å³/f.u.
energy of formation = -0.62 eV/atom

```
&SYSTEM
  ibrav = 0, nat = 14, ntyp = 3
/
ATOMIC_SPECIES
Nd 144.24 Nd.upf
Bi 208.98 Bi.upf
Rh 102.91 Rh.upf
CELL_PARAMETERS angstrom
-4.387 4.387 4.387
4.387 -4.387 4.387
4.387 4.387 -4.387
ATOMIC_POSITIONS angstrom
Nd 2.292 2.095 -2.095
Nd 2.095 -2.095 2.292
Nd 2.095 2.095 2.095
Nd -2.095 2.292 2.095
Bi 4.809 -0.422 0.422
Bi 0.422 4.809 -0.422
Bi -0.422 0.422 4.809
Bi 3.966 3.966 3.966
Rh 2.194 0.151 0.000
Rh 4.387 2.194 -0.151
Rh 0.151 0.000 2.194
Rh 0.000 2.194 0.151
Rh 2.194 -0.151 4.387
Rh -0.151 4.387 2.194
```


Compound: Nd3Bi4Rh8
Source: Alexandria
Functional: PBE
Structure: optimized geometry Values from VASP.

Results
total magnetic moment = 0.0000 μB/atom
V = 303 Å³/f.u.
energy of formation = -0.42 eV/atom

```
&SYSTEM
  ibrav = 0, nat = 30, ntyp = 3
/
ATOMIC_SPECIES
Nd 144.24 Nd.upf
Bi 208.98 Bi.upf
Rh 102.91 Rh.upf
CELL_PARAMETERS angstrom
0.000 6.716 6.716
6.716 0.000 6.716
6.716 6.716 0.000
ATOMIC_POSITIONS angstrom
Nd 6.716 6.716 3.104
Nd 6.716 3.104 6.716
Nd 10.328 6.716 6.716
Nd 3.104 6.716 6.716
Nd 6.716 10.328 6.716
Nd 6.716 6.716 10.328
Bi 0.000 0.000 0.000
Bi 3.358 3.358 0.000
Bi 3.358 0.000 3.358
Bi 6.716 3.358 3.358
Bi 0.000 3.358 3.358
Bi 3.358 6.716 3.358
Bi 3.358 3.358 6.716
Bi 6.716 6.716 6.716
Rh 8.361 5.071 5.071
Rh 2.266 2.266 2.266
Rh 4.450 4.450 2.266
Rh 4.450 2.266 4.450
Rh 5.071 5.071 5.071
Rh 8.361 8.361 5.071
Rh 8.361 5.071 8.361
Rh 2.266 4.450 4.450
Rh 11.166 8.982 8.982
Rh 5.071 8.361 5.071
Rh 5.071 5.071 8.361
Rh 8.361 8.361 8.361
Rh 8.982 11.166 8.982
Rh 8.982 8.982 11.166
Rh 11.166 11.166 11.166
Rh 5.071 8.361 8.361
```


Compound: NdBi4Rh
Source: Alexandria
Functional: PBE
Structure: optimized geometry Values from VASP.

Results
total magnetic moment = 0.0000 μB/atom
V = 173 Å³/f.u.
energy of formation = -0.23 eV/atom

```
&SYSTEM
  ibrav = 0, nat = 12, ntyp = 3
/
ATOMIC_SPECIES
Nd 144.24 Nd.upf
Bi 208.98 Bi.upf
Rh 102.91 Rh.upf
CELL_PARAMETERS angstrom
9.191 0.000 0.000
0.000 5.693 0.000
-0.831 0.000 6.622
ATOMIC_POSITIONS angstrom
Nd 0.000 0.000 0.000
Nd -0.416 2.847 3.311
Bi 1.271 0.030 3.516
Bi 1.687 2.816 0.205
Bi 2.890 2.938 4.095
Bi 3.306 5.602 0.784
Bi 5.053 0.091 5.838
Bi 5.469 2.756 2.527
Bi 6.672 2.877 6.416
Bi 7.088 5.663 3.105
Rh 4.180 0.000 3.311
Rh 4.595 2.847 0.000
```